1.
Entry from the Alexandria database: an optimized crystal structure of Pm5Er2Si4 (PBE).

```
Pm5Er2Si4
1.0
11.1886 -1.8514 0.0000
11.1886 1.8514 0.0000
-1.1930 0.0000 7.3623
Pm Er Si
5 2 4
direct
0.0000 0.0000 0.0000
0.3474 0.3474 0.0281
0.3901 0.3901 0.6098
0.6099 0.6099 0.3902
0.6526 0.6526 0.9719
0.2214 0.2214 0.6635
0.7786 0.7786 0.3365
0.0921 0.0921 0.6914
0.4762 0.4762 0.3250
0.5238 0.5238 0.6750
0.9079 0.9079 0.3086
```

Symmetry ... C2/m (12)
DFT total energy ... -57.3 eV per formula unit
N(E_F) ... 11.71 states/eV/f.u.
Energy relative to the elements, uncorrected ... -0.250 eV per atom


2.
Entry from the Alexandria database: an optimized crystal structure of MnPCSeN (PBE).

```
MnPCSeN
1.0
5.1441 0.0000 0.0000
0.0000 2.7725 0.0000
-2.1489 0.0000 5.3948
Mn P C Se N
1 1 1 1 1
direct
0.0000 0.0000 0.0000
0.6192 0.5000 0.2713
0.2674 0.5000 0.0904
0.5959 0.5000 0.6849
0.7901 0.0000 0.2506
```

Symmetry ... Pm (6)
DFT total energy ... -34.5 eV per formula unit
N(E_F) ... 1.42 states/eV/f.u.
Energy relative to the elements, uncorrected ... 0.233 eV per atom


3.
Entry from the Alexandria database: an optimized crystal structure of MgZnTe (PBE).

```
MgZnTe
1.0
0.0000 2.7764 4.5162
2.7596 0.0000 4.5162
2.7596 2.7764 0.0000
Mg Zn Te
1 1 1
direct
0.0000 0.0000 0.0000
0.6674 0.6674 0.3326
0.3408 0.3408 0.6592
```

Symmetry ... Fmm2 (42)
DFT total energy ... -6.4 eV per formula unit
N(E_F) ... 0.81 states/eV/f.u.
Energy relative to the elements, uncorrected ... -0.117 eV per atom


Question: Look up the N(E_F) of the third one.
Answer: 0.81 states/eV/f.u.


Question: Which of these has the lowest energy relative to the elements, uncorrected?
Answer: Pm5Er2Si4


Copy entry 2 word for word.
Entry from the Alexandria database: an optimized crystal structure of MnPCSeN (PBE).

```
MnPCSeN
1.0
5.1441 0.0000 0.0000
0.0000 2.7725 0.0000
-2.1489 0.0000 5.3948
Mn P C Se N
1 1 1 1 1
direct
0.0000 0.0000 0.0000
0.6192 0.5000 0.2713
0.2674 0.5000 0.0904
0.5959 0.5000 0.6849
0.7901 0.0000 0.2506
```

Symmetry ... Pm (6)
DFT total energy ... -34.5 eV per formula unit
N(E_F) ... 1.42 states/eV/f.u.
Energy relative to the elements, uncorrected ... 0.233 eV per atom


Question: Which of these has the highest N(E_F)?
Answer: Pm5Er2Si4